(1)
Compound: KBaFe2
Source: the Alexandria database
Functional: PBE
Structure: relaxed

a b c (Å): 3.895 3.895 9.726
angles (deg): 78.68 78.68 59.97
Positions (direct):
Fe  0.961  0.961  0.118
K  0.537  0.537  0.395
Ba  0.708  0.708  0.869
Fe  0.294  0.294  0.118

Calculated values
Its total magnetization is 0.00 μB/atom. As for the space-group type: No. 8. For the formation enthalpy at 0 K, the calculation gives 0.640 eV per atom. The calculation puts the energy relative to the lowest polymorph listed for this composition at 0.000 eV/atom.

---

(2)
Compound: TbThIr2
Source: the Alexandria database
Functional: PBE
Structure: relaxed

a b c (Å): 3.529 4.966 4.966
angles (deg): 90.00 90.00 90.00
Positions (direct):
Ir  0.000  0.000  0.500
Ir  0.000  0.500  0.000
Tb  0.500  0.500  0.500
Th  0.500  0.000  0.000

Calculated values
Its total magnetization is 0.00 μB/atom. As for the space-group type: No. 123. For the formation enthalpy at 0 K, the calculation gives -0.784 eV per atom. The calculation puts the energy relative to the lowest polymorph listed for this composition at 0.121 eV/atom.

---

(3)
Compound: InTe2W
Source: the Alexandria database
Functional: PBE
Structure: relaxed

a b c (Å): 7.383 7.383 7.383
angles (deg): 154.26 141.84 46.60
Positions (direct):
In  0.250  0.750  0.500
Te  0.585  0.585  0.000
W  0.750  0.250  0.500
Te  0.915  0.915  0.000

Calculated values
Its total magnetization is 0.00 μB/atom. As for the space-group type: No. 71.

---

(4)
Compound: AlWC2Se
Source: the Alexandria database
Functional: PBE
Structure: relaxed

a b c (Å): 3.891 4.839 3.891
angles (deg): 90.00 90.00 90.00
Positions (direct):
Al  0.000  0.500  0.000
Se  0.000  0.000  0.000
C  0.000  0.000  0.500
W  0.500  0.500  0.500
C  0.500  0.000  0.000

Calculated values
Its total magnetization is 0.00 μB/atom. As for the space-group type: No. 123.

---

(5)
Compound: Pm8HoGa6
Source: the Alexandria database
Functional: PBE
Structure: relaxed

a b c (Å): 8.802 8.802 8.086
angles (deg): 57.02 57.02 60.00
Positions (direct):
Pm  0.887  0.554  0.339
Ga  0.272  0.616  0.168
Pm  0.220  0.887  0.339
Pm  0.113  0.446  0.661
Pm  0.666  0.666  0.001
Ga  0.384  0.056  0.832
Ga  0.728  0.384  0.832
Ga  0.944  0.272  0.168
Ga  0.616  0.944  0.168
Pm  0.334  0.334  0.999
Pm  0.780  0.113  0.661
Pm  0.446  0.780  0.661
Ga  0.056  0.728  0.832
Pm  0.554  0.220  0.339
Ho  0.000  0.000  0.000

Calculated values
Its total magnetization is 0.00 μB/atom. As for the space-group type: No. 148. For the formation enthalpy at 0 K, the calculation gives -0.362 eV per atom.

---

(6)
Compound: La5Cu
Source: the Alexandria database
Functional: PBE
Structure: relaxed

a b c (Å): 6.387 6.387 5.958
angles (deg): 90.00 90.00 120.00
Positions (direct):
Cu  0.000  0.000  0.000
La  0.667  0.333  0.000
La  0.000  0.500  0.500
La  0.333  0.667  0.000
La  0.500  0.500  0.500
La  0.500  0.000  0.500

Calculated values
Its total magnetization is 0.02 μB/atom. As for the space-group type: No. 191. For the formation enthalpy at 0 K, the calculation gives 0.634 eV per atom. The calculation puts the energy relative to the lowest polymorph listed for this composition at 0.674 eV/atom.

---

(7)
Compound: Na3Hf3AgSe8
Source: the Alexandria database
Functional: PBE
Structure: relaxed

a b c (Å): 7.819 7.820 8.324
angles (deg): 118.02 90.00 120.00
Positions (direct):
Se  0.250  0.969  0.719
Na  0.500  0.500  0.000
Ag  0.000  0.000  0.500
Se  0.259  0.518  0.277
Se  0.719  0.969  0.719
Se  0.750  0.501  0.281
Na  0.000  0.500  0.000
Se  0.741  0.482  0.723
Hf  0.500  0.500  0.500
Hf  0.000  0.500  0.500
Se  0.281  0.031  0.281
Se  0.250  0.499  0.719
Se  0.750  0.031  0.281
Na  0.000  0.000  0.000
Hf  0.500  0.000  0.500

Calculated values
Its total magnetization is 0.00 μB/atom. As for the space-group type: No. 166.

---

(8)
Compound: LaInOF2
Source: the Alexandria database
Functional: PBE
Structure: relaxed

a b c (Å): 4.730 4.730 4.708
angles (deg): 90.00 90.00 90.00
Positions (direct):
La  0.000  0.000  0.000
F  0.500  0.000  0.000
O  0.000  0.000  0.500
In  0.500  0.500  0.500
F  0.000  0.500  0.000

Calculated values
Its total magnetization is 0.00 μB/atom. As for the space-group type: No. 123.

---

(9)
Compound: Cs2VS2
Source: the Alexandria database
Functional: PBE
Structure: relaxed

a b c (Å): 5.954 7.919 8.532
angles (deg): 117.65 110.42 90.00
Positions (direct):
V  0.250  0.500  0.000
S  0.411  0.574  0.822
Cs  0.650  0.986  0.300
Cs  0.150  0.314  0.300
S  0.911  0.248  0.822
V  0.750  0.500  0.000
S  0.089  0.752  0.178
Cs  0.350  0.014  0.700
S  0.589  0.426  0.178
Cs  0.850  0.686  0.700

Calculated values
Its total magnetization is 0.19 μB/atom. As for the space-group type: No. 72.

---

(10)
Compound: TbPrPt
Source: the Alexandria database
Functional: PBE
Structure: relaxed

a b c (Å): 4.174 4.174 6.353
angles (deg): 90.00 90.00 120.00
Positions (direct):
Tb  0.333  0.667  0.572
Pr  0.000  0.000  0.083
Pt  0.667  0.333  0.345

Calculated values
Its total magnetization is 0.00 μB/atom. As for the space-group type: No. 156. For the formation enthalpy at 0 K, the calculation gives -0.703 eV per atom. The calculation puts the energy relative to the lowest polymorph listed for this composition at 0.115 eV/atom.

---

(11)
Compound: Ti2In2Ge
Source: the Alexandria database
Functional: PBE
Structure: relaxed

a b c (Å): 6.697 6.697 4.475
angles (deg): 90.00 90.00 90.00
Positions (direct):
Ti  0.346  0.846  0.000
In  0.844  0.344  0.500
Ge  0.500  0.500  0.000
Ti  0.654  0.154  0.000
Ti  0.154  0.346  0.000
In  0.344  0.156  0.500
In  0.656  0.844  0.500
Ti  0.846  0.654  0.000
Ge  0.000  0.000  0.000
In  0.156  0.656  0.500

Calculated values
Its total magnetization is 0.00 μB/atom. As for the space-group type: No. 127. For the formation enthalpy at 0 K, the calculation gives -0.225 eV per atom.

---

(12)
Compound: CsAg3I4
Source: the Alexandria database
Functional: PBE
Structure: relaxed

a b c (Å): 8.559 8.559 8.559
angles (deg): 90.00 90.00 90.00
Positions (direct):
I  0.750  0.750  0.750
I  0.750  0.250  0.250
Ag  0.000  0.500  0.250
I  0.750  0.250  0.750
I  0.750  0.750  0.250
Ag  0.500  0.250  0.000
Cs  0.500  0.500  0.500
I  0.250  0.750  0.750
Ag  0.750  0.000  0.500
Cs  0.000  0.000  0.000
I  0.250  0.250  0.750
Ag  0.000  0.500  0.750
Ag  0.250  0.000  0.500
I  0.250  0.750  0.250
I  0.250  0.250  0.250
Ag  0.500  0.750  0.000

Calculated values
Its total magnetization is 0.00 μB/atom. As for the space-group type: No. 223. The calculation puts the energy relative to the lowest polymorph listed for this composition at 0.125 eV/atom.

---

(13)
Compound: TlSe3F
Source: the Alexandria database
Functional: PBE
Structure: relaxed

a b c (Å): 4.829 4.829 4.829
angles (deg): 90.00 90.00 90.00
Positions (direct):
Se  0.000  0.000  0.500
F  0.000  0.000  0.000
Tl  0.500  0.500  0.500
Se  0.500  0.000  0.000
Se  0.000  0.500  0.000

Calculated values
Its total magnetization is 0.00 μB/atom. As for the space-group type: No. 221. The calculation puts the energy relative to the lowest polymorph listed for this composition at 0.000 eV/atom.

---

Raw total energy (eV per atom)
-4.346; -8.227; -5.159; -5.044; -4.411; -4.155; -5.415; -6.026; -4.711; -5.853; -5.402; -2.382; -2.769